Entry 1:
A relaxed structure of ZnCd2Os, computed with GGA-PBE.

The structure in POSCAR format:
```
ZnCd2Os
1.0
-2.323 6.047 8.609
-4.173 3.980 9.100
-1.513 3.731 9.993
Os Zn Cd
1 1 2
Direct
0.250 0.250 0.250
0.750 0.750 0.750
0.994 0.994 0.994
0.506 0.506 0.506
```

Values from the calculation:
SG: R-3m (166)
Mass density, Mg/m³: 10.9
ΔE_f, eV/atom: 0.430


Entry 2:
A relaxed structure of Sr2LaMgPt, computed with GGA-PBE.

The structure in POSCAR format:
```
Sr2LaMgPt
1.0
-0.028 4.061 4.404
3.652 -3.479 3.232
4.414 2.510 -2.286
Mg La Sr Pt
1 1 2 1
Direct
0.500 0.500 0.500
0.000 0.000 0.500
0.500 0.000 0.000
0.000 0.500 0.000
0.000 0.000 0.000
```

Values from the calculation:
SG: P4/mmm (123)
Mass density, Mg/m³: 4.4
ΔE_f, eV/atom: -0.370


Entry 3:
A relaxed structure of Tb2PrEr, computed with GGA-PBE.

The structure in POSCAR format:
```
Tb2PrEr
1.0
-0.729 2.820 2.093
-2.899 -1.690 1.266
5.607 -4.058 7.420
Er Pr Tb
1 1 2
Direct
0.500 0.500 0.000
0.500 0.500 0.500
0.000 0.000 0.243
0.000 0.000 0.757
```

Values from the calculation:
SG: P4/mmm (123)
Mass density, Mg/m³: 8.0
ΔE_f, eV/atom: 0.024
Relative energy among the computed polymorphs, eV per atom: 0.003


Entry 4:
A relaxed structure of ScGeTe4, computed with GGA-PBE.

The structure in POSCAR format:
```
ScGeTe4
1.0
6.532 -0.703 0.000
-1.220 6.455 0.000
0.000 0.000 9.723
Te Sc Ge
8 2 2
Direct
0.682 0.682 0.561
0.080 0.672 0.250
0.318 0.318 0.061
0.328 0.920 0.750
0.672 0.080 0.250
0.318 0.318 0.439
0.682 0.682 0.939
0.920 0.328 0.750
0.621 0.621 0.250
0.379 0.379 0.750
0.063 0.063 0.250
0.937 0.937 0.750
```

Values from the calculation:
E_form (uncorrected), eV/atom: -0.333
SG: Cmcm (63)
Mass density, Mg/m³: 5.2


Entry 5:
A relaxed structure of TaMn2Cl, computed with GGA-PBE.

The structure in POSCAR format:
```
TaMn2Cl
1.0
-4.768 1.545 -4.315
-0.317 -6.323 -1.913
-4.303 -2.841 -1.330
Mn Cl Ta
4 2 2
Direct
0.550 0.125 0.250
0.200 0.625 0.250
0.375 0.450 0.750
0.875 0.800 0.750
0.250 0.750 0.500
0.500 0.500 0.000
0.750 0.250 0.500
0.000 0.000 0.000
```

Values from the calculation:
E_form (uncorrected), eV/atom: 0.751
SG: I-42d (122)
Mass density, Mg/m³: 9.7
Relative energy among the computed polymorphs, eV per atom: 0.720


Entry 6:
A relaxed structure of K3RbTe, computed with GGA-PBE.

The structure in POSCAR format:
```
K3RbTe
1.0
6.876 0.000 0.000
0.000 6.876 0.000
0.000 0.000 6.876
K Rb Te
3 1 1
Direct
0.000 0.500 0.000
0.500 0.000 0.000
0.000 0.000 0.500
0.500 0.500 0.500
0.000 0.000 0.000
```

Values from the calculation:
E_form (uncorrected), eV/atom: -0.515
SG: Pm-3m (221)
Mass density, Mg/m³: 1.7
Relative energy among the computed polymorphs, eV per atom: 0.000


Entry 7:
A relaxed structure of Cs3Cu2HgBr6, computed with GGA-PBE.

The structure in POSCAR format:
```
Cs3Cu2HgBr6
1.0
-4.947 5.555 3.676
1.990 -7.028 3.935
7.539 4.233 3.749
Cs Br Cu Hg
3 6 2 1
Direct
0.000 0.000 0.000
0.333 0.667 0.646
0.667 0.333 0.354
0.171 0.829 0.284
0.829 0.171 0.716
0.171 0.341 0.284
0.341 0.171 0.716
0.659 0.829 0.284
0.829 0.659 0.716
0.333 0.667 0.262
0.667 0.333 0.738
0.000 0.000 0.500
```

Values from the calculation:
E_form (uncorrected), eV/atom: -0.979
SG: P-3m1 (164)
Mass density, Mg/m³: 3.6


Entry 8:
A relaxed structure of ZnCrRh, computed with GGA-PBE.

The structure in POSCAR format:
```
ZnCrRh
1.0
-6.741 1.202 0.682
-6.409 -1.324 1.283
-0.228 1.600 2.059
Cr Rh Zn
1 1 1
Direct
0.997 0.997 0.003
0.339 0.339 0.661
0.664 0.664 0.336
```

Values from the calculation:
SG: Fmm2 (42)
Mass density, Mg/m³: 9.0
ΔE_f, eV/atom: 0.110
Relative energy among the computed polymorphs, eV per atom: 0.179